Entry 1:
Entry from Alexandria: LaRuC2 after structural relaxation (PBE).

Computed properties:
Energy of formation from the pure elements: -0.1567 eV/atom
Crystal system: orthorhombic
Offset from the most stable computed form: 0.00 eV per formula unit

Cell: 3.9478 4.0913 3.9476 Å, 90.00 74.53 90.00°
With the nearest neighbours (Å) after each atom.
Fractional positions:
C: 0.0902 0.9675 0.6622  1 C 1.39
C: 0.3802 0.9675 0.3722  1 C 1.39
La: 0.5307 0.4675 0.8128  8 C 2.85-2.95, 2 Ru 3.15
Ru: 0.9111 0.9675 0.1932  4 C 2.03-2.15



Entry 2:
Entry from Alexandria: Ho3AlGe2 after structural relaxation (PBE).

Computed properties:
Energy of formation from the pure elements: -0.6978 eV/atom
Crystal system: orthorhombic

Cell: 4.1832 11.5301 11.5461 Å, 90.00 90.00 90.00°
With the nearest neighbours (Å) after each atom.
Fractional positions:
Al: 0.7500 0.6316 0.3661  3 Ge 2.56
Al: 0.2500 0.3684 0.6339  3 Ge 2.56
Al: 0.7500 0.8684 0.8661  3 Ge 2.56
Al: 0.2500 0.1316 0.1339  3 Ge 2.56
Ge: 0.2500 0.8147 0.9813  2 Al 2.56
Ge: 0.7500 0.1853 0.0187  2 Al 2.56
Ge: 0.2500 0.4986 0.8139  1 Al 2.56
Ge: 0.2500 0.0014 0.3139  1 Al 2.56
Ge: 0.7500 0.5014 0.1861  1 Al 2.56
Ge: 0.2500 0.6853 0.4813  2 Al 2.56
Ge: 0.7500 0.9986 0.6861  1 Al 2.56
Ge: 0.7500 0.3147 0.5187  2 Al 2.56
Ho: 0.2500 0.1189 0.5552  5 Ge 2.93-3.11, 1 Al 3.02
Ho: 0.2500 0.4366 0.3732  5 Ge 3.03-3.13, 3 Al 3.07-3.11
Ho: 0.2500 0.7001 0.2017  3 Ge 2.87-3.11, 2 Al 2.93
Ho: 0.7500 0.5634 0.6268  5 Ge 3.03-3.13, 3 Al 3.07-3.11
Ho: 0.2500 0.7999 0.7017  3 Ge 2.87-3.11, 2 Al 2.93
Ho: 0.7500 0.6189 0.9448  5 Ge 2.93-3.11, 1 Al 3.02
Ho: 0.7500 0.8811 0.4448  5 Ge 2.93-3.11, 1 Al 3.02
Ho: 0.7500 0.2999 0.7983  3 Ge 2.87-3.11, 2 Al 2.93
Ho: 0.7500 0.9366 0.1268  5 Ge 3.03-3.13, 3 Al 3.07-3.11
Ho: 0.2500 0.0634 0.8732  5 Ge 3.03-3.13, 3 Al 3.07-3.11
Ho: 0.7500 0.2001 0.2983  3 Ge 2.87-3.11, 2 Al 2.93
Ho: 0.2500 0.3811 0.0552  5 Ge 2.93-3.11, 1 Al 3.02



Entry 3:
Entry from Alexandria: Ca14LaPm after structural relaxation (PBE).

Computed properties:
Energy of formation from the pure elements: 0.0574 eV/atom
Crystal system: orthorhombic

Cell: 7.7591 7.7591 10.9648 Å, 90.00 90.00 89.97°
With the nearest neighbours (Å) after each atom.
Fractional positions:
Ca: 0.6240 0.8740 0.2463  1 Pm 3.84, 10 Ca 3.85-3.92, 1 La 3.86
Ca: 0.1260 0.3760 0.2463  1 Pm 3.84, 10 Ca 3.85-3.92, 1 La 3.86
Ca: 0.6240 0.8740 0.7537  1 Pm 3.84, 10 Ca 3.85-3.92, 1 La 3.86
Ca: 0.3753 0.6247 0.5000  12 Ca 3.88-3.90
Ca: 0.1259 0.8741 0.2462  1 Pm 3.84, 10 Ca 3.85-3.92, 1 La 3.86
Ca: 0.1259 0.8741 0.7538  1 Pm 3.84, 10 Ca 3.85-3.92, 1 La 3.86
Ca: 0.1260 0.3760 0.7537  1 Pm 3.84, 10 Ca 3.85-3.92, 1 La 3.86
Ca: 0.6240 0.3760 0.7536  1 Pm 3.84, 10 Ca 3.85-3.91, 1 La 3.85
Ca: 0.6240 0.3760 0.2464  1 Pm 3.84, 10 Ca 3.85-3.91, 1 La 3.85
Ca: 0.3747 0.1246 0.5000  12 Ca 3.88-3.91
Ca: 0.8751 0.6252 0.0000  8 Ca 3.85, 2 Pm 3.88, 2 La 3.88
Ca: 0.8748 0.1252 0.5000  12 Ca 3.88-3.92
Ca: 0.3748 0.1249 0.0000  8 Ca 3.85, 2 La 3.88, 2 Pm 3.88
Ca: 0.8754 0.6253 0.5000  12 Ca 3.88-3.91
La: 0.8746 0.1254 0.0000  12 Ca 3.85-3.88
Pm: 0.3752 0.6248 0.0000  12 Ca 3.84-3.88



> What is the energy of formation from the pure elements in the second record?

-0.6978 eV/atom



> energy of formation from the pure elements of number 1 (LaRuC2)?

-0.1567 eV/atom